1.
Here is crystalline OsPdC3 at its relaxed geometry from Alexandria. Energies are from PBE.

Values from the calculation:
* total energy: -0.2087 Ha/atom
* ΔE_f: 3.1394 eV/atom
* space group: Pm-3m
* offset from the most stable computed form: 1261 meV/atom

```
OsPdC3
1.0
3.924 0.000 0.000
0.000 3.924 0.000
0.000 0.000 3.924
Os Pd C
1 1 3
Direct
0.000 0.000 0.000 Os
0.500 0.500 0.500 Pd
0.000 0.500 0.500 C
0.500 0.000 0.500 C
0.500 0.500 0.000 C
```

2.
Here is crystalline SmDy2Sc at its relaxed geometry from Alexandria. Energies are from PBE.

Values from the calculation:
* total energy: -0.1845 Ha/atom
* ΔE_f: 0.0421 eV/atom
* space group: R3m
* offset from the most stable computed form: 10 meV/atom

```
SmDy2Sc
1.0
1.763 1.018 11.247
-1.763 1.018 11.247
0.000 -2.036 11.247
Sm Dy Sc
1 2 1
Direct
0.000 0.000 0.000 Sm
0.579 0.579 0.579 Dy
0.753 0.753 0.753 Dy
0.166 0.166 0.166 Sc
```

3.
Here is crystalline RbAl2Au2 at its relaxed geometry from Alexandria. Energies are from PBE.

Values from the calculation:
* total energy: -0.1144 Ha/atom
* ΔE_f: -0.1103 eV/atom
* space group: P4/mbm
* offset from the most stable computed form: 175 meV/atom

```
RbAl2Au2
1.0
8.665 0.000 0.000
0.000 8.665 0.000
0.000 0.000 2.813
Rb Al Au
2 4 4
Direct
0.000 0.000 0.000 Rb
0.500 0.500 0.000 Rb
0.130 0.370 0.500 Al
0.370 0.870 0.500 Al
0.630 0.130 0.500 Al
0.870 0.630 0.500 Al
0.155 0.655 0.000 Au
0.345 0.155 0.000 Au
0.655 0.845 0.000 Au
0.845 0.345 0.000 Au
```

> Number 2 is which compound?

SmDy2Sc

> Which formula does entry 1 have?

OsPdC3

Please write out number 2 again, unchanged.
Here is crystalline SmDy2Sc at its relaxed geometry from Alexandria. Energies are from PBE.

Values from the calculation:
* total energy: -0.1845 Ha/atom
* ΔE_f: 0.0421 eV/atom
* space group: R3m
* offset from the most stable computed form: 10 meV/atom

```
SmDy2Sc
1.0
1.763 1.018 11.247
-1.763 1.018 11.247
0.000 -2.036 11.247
Sm Dy Sc
1 2 1
Direct
0.000 0.000 0.000 Sm
0.579 0.579 0.579 Dy
0.753 0.753 0.753 Dy
0.166 0.166 0.166 Sc
```